Below is a relaxed structure of CoBr3N, with properties calculated at the PBE-GGA level.

extended XYZ file:
```
5
Lattice="4.686 0.000 0.000 0.000 4.686 0.000 0.000 0.000 4.686" Properties=species:S:1:pos:R:3 pbc="T T T"
Br 0.000 0.000 2.343
Br 2.343 0.000 0.000
Br 0.000 2.343 0.000
Co 2.343 2.343 2.343
N 0.000 0.000 0.000
```

Raw formation energy: 1.32 eV/atom
DFT total energy: -2.770 eV/atom
Calculated volume: 20.579 Å³/atom
Energy above the lowest structure with this stoichiometry: 0 meV/atom
Magnetization: 0.479 μB per atom

Below is a relaxed structure of CoBrN, with properties calculated at the PBE-GGA level.

extended XYZ file:
```
3
Lattice="-1.653 2.520 -0.324 -0.147 -2.189 -2.092 -4.296 -2.439 4.420" Properties=species:S:1:pos:R:3 pbc="T T T"
Br -3.544 -0.543 2.219
Co -5.327 -1.558 3.409
N -1.879 2.253 -0.190
```

Raw formation energy: 0.35 eV/atom
DFT total energy: -5.348 eV/atom
Calculated volume: 17.219 Å³/atom
Energy above the lowest structure with this stoichiometry: 0 meV/atom
Magnetization: 0.000 μB per atom

Below is a relaxed structure of CoBrN, with properties calculated at the PBE-GGA level.

extended XYZ file:
```
6
Lattice="-2.196 -0.529 -6.186 -2.801 -0.536 1.040 -0.958 5.164 0.083" Properties=species:S:1:pos:R:3 pbc="T T T"
Br -2.914 1.478 -2.656
Br -1.993 4.328 -3.135
N -3.555 -0.377 -5.337
N -2.633 2.473 -5.816
Co -3.718 1.364 -4.880
Co -2.797 4.214 -5.358
```

Raw formation energy: 0.36 eV/atom
DFT total energy: -5.345 eV/atom
Calculated volume: 17.491 Å³/atom
Energy above the lowest structure with this stoichiometry: 3 meV/atom
Magnetization: 0.000 μB per atom

Below is a relaxed structure of CoBr3N, with properties calculated at the PBE-GGA level.

extended XYZ file:
```
5
Lattice="4.787 0.000 0.000 0.000 4.787 0.000 0.000 0.000 4.787" Properties=species:S:1:pos:R:3 pbc="T T T"
Br 0.000 2.394 0.000
Br 2.394 0.000 0.000
Br 0.000 0.000 2.394
Co 0.000 0.000 0.000
N 2.394 2.394 2.394
```

Raw formation energy: 1.44 eV/atom
DFT total energy: -2.654 eV/atom
Calculated volume: 21.945 Å³/atom
Energy above the lowest structure with this stoichiometry: 116 meV/atom
Magnetization: 0.000 μB per atom

Below is a relaxed structure of CoBrN3, with properties calculated at the PBE-GGA level.

extended XYZ file:
```
5
Lattice="-0.552 -0.534 -3.755 1.948 -3.296 0.182 -3.255 -1.882 0.746" Properties=species:S:1:pos:R:3 pbc="T T T"
N -1.627 -0.941 0.373
N -0.276 -0.267 -1.878
N 0.974 -1.648 0.091
Br 0.000 0.000 0.000
Co -0.930 -2.856 -1.414
```

Raw formation energy: 2.89 eV/atom
DFT total energy: -3.860 eV/atom
Calculated volume: 11.263 Å³/atom
Magnetization: 0.657 μB per atom

Below is a relaxed structure of Nd4CoBr2N, with properties calculated at the PBE-GGA level.

extended XYZ file:
```
8
Lattice="3.770 0.000 0.000 0.000 6.947 0.094 0.000 -2.467 7.563" Properties=species:S:1:pos:R:3 pbc="T T T"
Co 1.885 3.473 0.047
N 0.000 0.000 0.000
Nd 0.000 -0.155 6.171
Nd 0.000 4.635 1.486
Nd 1.885 3.506 6.259
Nd 1.885 0.975 1.399
Br 0.000 2.240 3.829
Br 1.885 -1.233 3.782
```

Raw formation energy: -1.00 eV/atom
DFT total energy: -5.730 eV/atom
Calculated volume: 24.870 Å³/atom
Magnetization: 0.000 μB per atom

Below is a relaxed structure of Nd8Co3Br3N, with properties calculated at the PBE-GGA level.

extended XYZ file:
```
15
Lattice="-0.564 1.371 -7.756 -0.635 -7.385 2.761 -7.013 5.390 1.463" Properties=species:S:1:pos:R:3 pbc="T T T"
Nd -2.639 -1.950 -0.153
Nd -2.383 1.794 -1.418
Nd -3.006 -1.355 -4.041
Nd -5.830 -2.418 -2.114
Nd -5.534 -3.138 1.959
Nd -5.207 0.730 0.508
Nd -2.679 2.514 -5.492
Nd -5.573 1.325 -3.380
Co -3.824 -0.998 2.112
Co -4.106 -0.312 -1.766
Co -3.789 3.380 -3.147
Br -0.600 -3.007 -2.498
Br 0.000 0.000 0.000
Br -0.318 -3.693 1.380
N -3.507 2.695 0.731
```

Raw formation energy: -0.68 eV/atom
DFT total energy: -5.530 eV/atom
Calculated volume: 27.834 Å³/atom
Magnetization: 0.000 μB per atom

Below is a relaxed structure of CoNiBrN2, with properties calculated at the PBE-GGA level.

extended XYZ file:
```
5
Lattice="3.495 0.000 0.000 0.000 5.888 0.000 0.000 0.000 3.495" Properties=species:S:1:pos:R:3 pbc="T T T"
N 1.747 0.000 0.000
N 0.000 0.000 1.747
Br 1.747 2.944 1.747
Ni 0.000 2.944 0.000
Co 0.000 0.000 0.000
```

Raw formation energy: 0.99 eV/atom
DFT total energy: -5.251 eV/atom
Calculated volume: 14.381 Å³/atom
Magnetization: 0.177 μB per atom

What did the seventh record say?
Below is a relaxed structure of Nd8Co3Br3N, with properties calculated at the PBE-GGA level.

extended XYZ file:
```
15
Lattice="-0.564 1.371 -7.756 -0.635 -7.385 2.761 -7.013 5.390 1.463" Properties=species:S:1:pos:R:3 pbc="T T T"
Nd -2.639 -1.950 -0.153
Nd -2.383 1.794 -1.418
Nd -3.006 -1.355 -4.041
Nd -5.830 -2.418 -2.114
Nd -5.534 -3.138 1.959
Nd -5.207 0.730 0.508
Nd -2.679 2.514 -5.492
Nd -5.573 1.325 -3.380
Co -3.824 -0.998 2.112
Co -4.106 -0.312 -1.766
Co -3.789 3.380 -3.147
Br -0.600 -3.007 -2.498
Br 0.000 0.000 0.000
Br -0.318 -3.693 1.380
N -3.507 2.695 0.731
```

Raw formation energy: -0.68 eV/atom
DFT total energy: -5.530 eV/atom
Calculated volume: 27.834 Å³/atom
Magnetization: 0.000 μB per atom

The lowest calculated volume belongs to which entry? CoBrN3